Entry 1:
# InFeMo2 (PBE, optimized geometry)
# calculated volume = 15.94 Å³ per atom
# uncorrected energy = -7.92 eV per atom
# energy relative to the elements = 0.298 eV/atom
# symmetry = P4/mmm
data_InFeMo2
_chemical_formula_sum 'In1 Fe1 Mo2'
_symmetry_space_group_name_H-M 'P 1'
_symmetry_Int_Tables_number 1
_symmetry_space_group_name_Hall 'P 1'
_cell_length_a 4.299
_cell_length_b 3.851
_cell_length_c 3.851
_cell_angle_alpha 90.00
_cell_angle_beta 90.00
_cell_angle_gamma 90.00
loop_
_atom_site_label
_atom_site_type_symbol
_atom_site_fract_x
_atom_site_fract_y
_atom_site_fract_z
_atom_site_occupancy
Fe1 Fe 0.500 0.500 0.000 1
In1 In 0.500 0.000 0.500 1
Mo1 Mo 0.000 0.000 0.000 1
Mo2 Mo 0.000 0.500 0.500 1

---

Entry 2:
# InFeMo (PBE, optimized geometry)
# calculated volume = 17.40 Å³ per atom
# uncorrected energy = -6.93 eV per atom
# energy relative to the lowest polymorph listed for this composition = 4.62 kcal/mol of atoms
# energy relative to the elements = 0.413 eV/atom
# symmetry = F-43m
data_InFeMo
_chemical_formula_sum 'In1 Fe1 Mo1'
_symmetry_space_group_name_H-M 'P 1'
_symmetry_Int_Tables_number 1
_symmetry_space_group_name_Hall 'P 1'
_cell_length_a 4.195
_cell_length_b 4.195
_cell_length_c 4.195
_cell_angle_alpha 60.00
_cell_angle_beta 60.00
_cell_angle_gamma 60.00
loop_
_atom_site_label
_atom_site_type_symbol
_atom_site_fract_x
_atom_site_fract_y
_atom_site_fract_z
_atom_site_occupancy
Fe1 Fe 0.750 0.750 0.750 1
In1 In 0.000 0.000 0.000 1
Mo1 Mo 0.500 0.500 0.500 1

---

no.,density of states at the Fermi level (states/eV/atom)
1,0.558
2,0.868